Record 1
A plane-wave DFT calculation with PBE was carried out for a relaxed structure of SmGaBi2.

Output
Final energy = -4.29 eV/atom
DFT formation energy = -1.6 eV per formula unit
ΔE to the lowest computed polymorph = 0 meV per atom
Crystal system = tetragonal

Lattice parameters (Å, degrees): 4.224 4.224 6.385 90.00 90.00 90.00
Positions (direct):
Sm (0.000, 0.000, 0.000)
Ga (0.000, 0.000, 0.500)
Bi (0.500, 0.500, 0.252)
Bi (0.500, 0.500, 0.748)

=====

Record 2
A plane-wave DFT calculation with PBE was carried out for a relaxed structure of NiAg2Ir.

Output
Final energy = -4.54 eV/atom
DFT formation energy = 2.2 eV per formula unit
ΔE to the lowest computed polymorph = 340 meV per atom
Crystal system = tetragonal

Lattice parameters (Å, degrees): 4.725 4.725 2.781 90.00 90.00 90.00
Positions (direct):
Ni (0.000, 0.000, 0.000)
Ag (0.000, 0.500, 0.500)
Ag (0.500, 0.000, 0.500)
Ir (0.500, 0.500, 0.000)